Record 1
Cd3Ag6Au2: relaxed, PBE-GGA.

a b c (Å): 5.7776 7.5588 13.0427
angles (deg): 38.77 89.79 119.71
Closest atoms and distances in Å follow each position.
Element x y z (fractional)
Cd  0.0000  0.0000  0.0000  6 Ag 2.87-2.95, 2 Au 2.87, 2 Cd 2.97
Cd  0.9316  0.7021  0.3454  2 Au 2.90-3.02, 6 Ag 2.94-3.12, 2 Cd 2.97-3.07
Cd  0.0684  0.2979  0.6546  2 Au 2.90-3.02, 6 Ag 2.94-3.12, 2 Cd 2.97-3.07
Ag  0.2819  0.6820  0.8356  3 Cd 2.87-3.12, 5 Ag 2.87-3.07, 3 Au 2.88-3.00
Ag  0.5452  0.2661  0.7424  4 Ag 2.84-2.97, 1 Au 2.85, 4 Cd 2.89-3.06
Ag  0.7181  0.3180  0.1644  3 Cd 2.87-3.12, 5 Ag 2.87-3.07, 3 Au 2.88-3.00
Ag  0.4548  0.7339  0.2576  4 Ag 2.84-2.97, 1 Au 2.85, 4 Cd 2.89-3.06
Ag  0.7287  0.9859  0.5006  6 Ag 2.75-3.07, 2 Au 2.81-2.87, 1 Cd 2.95
Ag  0.2713  0.0141  0.4994  6 Ag 2.75-3.07, 2 Au 2.81-2.87, 1 Cd 2.95
Au  0.3063  0.4638  0.1366  6 Ag 2.81-3.00, 3 Cd 2.87-3.02
Au  0.6937  0.5362  0.8634  6 Ag 2.81-3.00, 3 Cd 2.87-3.02

The value obtained for the density is 10.60 g/cm³. Its calculated formation energy is -10.9 meV per atom. For the total magnetization, the calculation gives 0.0 Bohr magnetons per cell.

---

Record 2
Ce4SnSb: relaxed, PBE-GGA.

a b c (Å): 5.5551 7.7773 8.9421
angles (deg): 102.59 108.10 90.00
Closest atoms and distances in Å follow each position.
Element x y z (fractional)
Ce  0.3612  0.0917  0.3090  1 Ce 2.71
Ce  0.9479  0.5917  0.3090  1 Ce 2.71
Ce  0.6656  0.9642  0.1309  2 Ce 2.66-2.71
Ce  0.4652  0.4642  0.1309  2 Ce 2.66-2.71
Ce  0.3344  0.0358  0.8691  2 Ce 2.66-2.71
Ce  0.5348  0.5359  0.8691  2 Ce 2.66-2.71
Ce  0.6388  0.9083  0.6910  1 Ce 2.71
Ce  0.0521  0.4083  0.6910  1 Ce 2.71
Sn  0.5000  0.5000  0.5000  6 Ce 3.18-3.23
Sn  0.0000  0.0000  0.5000  6 Ce 3.18-3.23
Sb  0.0914  0.7500  0.0000  10 Ce 3.20-3.55
Sb  0.9086  0.2500  0.0000  10 Ce 3.20-3.55

The calculation puts the energy relative to the elements, uncorrected at -2.71 eV per formula unit. Its distance to the lowest polymorph of the same formula is 0 meV per atom. The value obtained for the density is 7.44 g/cm³. For the total magnetization, the calculation gives 6.1 Bohr magnetons per cell.